Entry w
Cd2PdPt4 | GGA-PBE | optimized geometry

Lattice parameters (Å, degrees): 6.893 12.391 2.832 90.00 90.00 90.00
Sites, in units of the cell vectors:
Cd 0.179 0.101 0.000
Cd 0.321 0.601 0.000
Cd 0.679 0.399 0.000
Cd 0.821 0.899 0.000
Pd 0.000 0.500 0.500
Pd 0.500 0.000 0.500
Pt 0.024 0.729 0.500
Pt 0.234 0.876 0.000
Pt 0.266 0.376 0.000
Pt 0.476 0.229 0.500
Pt 0.524 0.771 0.500
Pt 0.734 0.624 0.000
Pt 0.766 0.124 0.000
Pt 0.976 0.271 0.500

Results
Its volume is 242 Å³/cell. As for the spin magnetization: 0.0 μB/f.u.

***

Entry x
Cd2PdPt4 | GGA-PBE | optimized geometry

Lattice parameters (Å, degrees): 9.843 9.843 9.843 158.47 158.47 30.64
Sites, in units of the cell vectors:
Cd 0.082 0.082 0.000
Cd 0.918 0.918 0.000
Pd 0.500 0.500 0.000
Pt 0.250 0.750 0.500
Pt 0.357 0.357 0.000
Pt 0.643 0.643 0.000
Pt 0.750 0.250 0.500

Results
Its volume is 128 Å³/cell. As for the spin magnetization: 0.0 μB/f.u.

***

So which one wins? Going from most stable to least: entry w, entry x.

***

Entry w
CdPd6Pt2 | GGA-PBE | optimized geometry

Lattice parameters (Å, degrees): 5.409 6.547 9.187 74.72 89.70 77.94
Sites, in units of the cell vectors:
Cd 0.000 0.000 0.000
Cd 0.500 0.000 0.500
Pd 0.038 0.814 0.308
Pd 0.104 0.591 0.606
Pd 0.154 0.399 0.907
Pd 0.305 0.801 0.793
Pd 0.347 0.597 0.098
Pd 0.390 0.427 0.399
Pd 0.610 0.573 0.601
Pd 0.653 0.403 0.902
Pd 0.695 0.199 0.207
Pd 0.846 0.601 0.093
Pd 0.896 0.409 0.394
Pd 0.962 0.186 0.692
Pt 0.197 0.196 0.214
Pt 0.459 0.184 0.733
Pt 0.541 0.816 0.267
Pt 0.803 0.804 0.786

Results
Its volume is 307 Å³/cell. As for the spin magnetization: 0.0 μB/f.u.

***

Entry x
CdPd6Pt2 | GGA-PBE | optimized geometry

Lattice parameters (Å, degrees): 8.421 8.421 4.012 90.00 90.00 90.00
Sites, in units of the cell vectors:
Cd 0.000 0.000 0.000
Cd 0.500 0.500 0.500
Pd 0.005 0.334 0.000
Pd 0.164 0.836 0.500
Pd 0.166 0.505 0.500
Pd 0.334 0.005 0.000
Pd 0.336 0.336 0.000
Pd 0.495 0.834 0.500
Pd 0.505 0.166 0.500
Pd 0.664 0.664 0.000
Pd 0.666 0.995 0.000
Pd 0.834 0.495 0.500
Pd 0.836 0.164 0.500
Pd 0.995 0.666 0.000
Pt 0.173 0.173 0.500
Pt 0.327 0.673 0.000
Pt 0.673 0.327 0.000
Pt 0.827 0.827 0.500

Results
Its volume is 284 Å³/cell. As for the spin magnetization: 0.0 μB/f.u.

***

So which one wins? Going from most stable to least: entry x, entry w.

***

Entry w
Cd2Pd8Pt3 | GGA-PBE | optimized geometry

Lattice parameters (Å, degrees): 10.445 10.445 10.445 28.34 28.34 28.34
Sites, in units of the cell vectors:
Cd 0.139 0.139 0.139
Cd 0.861 0.861 0.861
Pd 0.226 0.226 0.226
Pd 0.226 0.226 0.726
Pd 0.226 0.726 0.226
Pd 0.274 0.774 0.774
Pd 0.726 0.226 0.226
Pd 0.774 0.274 0.774
Pd 0.774 0.774 0.274
Pd 0.774 0.774 0.774
Pt 0.316 0.316 0.316
Pt 0.500 0.500 0.500
Pt 0.684 0.684 0.684

Results
Its volume is 227 Å³/cell. As for the spin magnetization: 0.0 μB/f.u.

***

Entry x
Cd2Pd8Pt3 | GGA-PBE | optimized geometry

Lattice parameters (Å, degrees): 7.508 7.508 4.687 92.69 92.69 57.15
Sites, in units of the cell vectors:
Cd 0.159 0.159 0.246
Cd 0.841 0.841 0.754
Pd 0.050 0.050 0.748
Pd 0.119 0.539 0.318
Pd 0.314 0.314 0.810
Pd 0.461 0.881 0.682
Pd 0.539 0.119 0.318
Pd 0.686 0.686 0.190
Pd 0.881 0.461 0.682
Pd 0.950 0.950 0.252
Pt 0.317 0.683 0.000
Pt 0.500 0.500 0.500
Pt 0.683 0.317 0.000

Results
Its volume is 222 Å³/cell. As for the spin magnetization: 0.0 μB/f.u.

***

So which one wins? Going from most stable to least: entry x, entry w.

***

Entry w
PuCd2Pd2 | GGA-PBE | optimized geometry

Lattice parameters (Å, degrees): 5.499 5.499 9.693 96.62 96.62 126.28
Sites, in units of the cell vectors:
Pu 0.125 0.875 0.750
Pu 0.875 0.125 0.250
Cd 0.252 0.502 0.003
Cd 0.498 0.748 0.497
Cd 0.502 0.252 0.503
Cd 0.748 0.498 0.997
Pd 0.206 0.794 0.250
Pd 0.456 0.544 0.750
Pd 0.544 0.456 0.250
Pd 0.794 0.206 0.750

Results
Its volume is 228 Å³/cell. As for the spin magnetization: 5.6 μB/f.u.

***

Entry x
PuCd2Pd2 | GGA-PBE | optimized geometry

Lattice parameters (Å, degrees): 4.783 4.783 5.636 90.00 90.00 120.00
Sites, in units of the cell vectors:
Pu 0.000 0.000 0.000
Cd 0.333 0.667 0.641
Cd 0.667 0.333 0.359
Pd 0.333 0.667 0.154
Pd 0.667 0.333 0.846

Results
Its volume is 112 Å³/cell. As for the spin magnetization: 5.4 μB/f.u.

***

So which one wins? Going from most stable to least: entry x, entry w.